Material: FeAg2GeS4
Method: DFT, PBE-GGA
State: optimized geometry

a b c (Å): 6.9281 6.9281 6.9281
angles (deg): 133.36 133.36 68.09
Last column: nearest neighbours and their distance in Å.
Fractional coordinates of all 8 atoms:
S  0.6387  0.1443  0.0000  1 Ge 2.29, 1 Fe 2.32, 2 Ag 2.53
S  0.8557  0.8557  0.4944  1 Ge 2.29, 1 Fe 2.32, 2 Ag 2.53
S  0.1443  0.6387  0.0000  1 Ge 2.29, 1 Fe 2.32, 2 Ag 2.53
S  0.3613  0.3613  0.5056  1 Ge 2.29, 1 Fe 2.32, 2 Ag 2.53
Ag  0.2500  0.7500  0.5000  4 S 2.53
Ag  0.7500  0.2500  0.5000  4 S 2.53
Fe  0.0000  0.0000  0.0000  4 S 2.32
Ge  0.5000  0.5000  0.0000  4 S 2.29

Values from the calculation:
Excess energy over the best structure of this formula in the dataset in kJ/mol of formula units: 21